## YHg2Rh2 (GGA-PBE)

Data for YHg2Rh2 after structural relaxation.

Cell and atoms, written as extended XYZ:
```
5
Lattice="-2.081 2.081 6.145 2.081 -2.081 6.145 2.081 2.081 -6.145" Properties=species:S:1:pos:R:3 pbc="T T T"
Y 0.000 0.000 0.000
Hg 2.081 0.000 3.072
Hg 0.000 2.081 3.072
Rh 0.000 0.000 4.919
Rh 0.000 0.000 7.371
```

Results
- Magnetic moment: 0.000 μB per formula unit
- SG: I4/mmm
- Energy of formation from the pure elements: -0.1808 eV per atom
- Offset from the most stable computed form: 0.091 eV per atom
- Calculated volume: 21.30 Å³ per atom